The following is a PBE calculation of crystalline ZrGaHgP2 at its relaxed geometry, from Alexandria.

Values from the calculation:
The calculation puts the formation energy at 1.13 eV per atom. Its total DFT energy (no corrections) is -0.2507 Ry/atom.

abc: 4.8614 4.8614 5.5373
angles: 90.00 90.00 90.00
Closest atoms and distances in Å follow each position.
Space group P4/mmm (No. 123)
One atom of each set of equivalent atoms:
Zr (0.0000, 0.0000, 0.0000)  2 Hg 2.77
Ga (0.5000, 0.5000, 0.0000)  4 Zr 3.44, 8 P 3.68
Hg (0.0000, 0.0000, 0.5000)  4 P 2.43
P (0.0000, 0.5000, 0.5000)  2 Hg 2.43


The following is a PBE calculation of crystalline PrSm3Sc at its relaxed geometry, from Alexandria.

Values from the calculation:
The calculation puts the formation energy at 0.04 eV per atom. The calculation puts the polymorph energy (0 for the lowest one) at 0 meV per atom. Its total DFT energy (no corrections) is -0.3684 Ry/atom.

abc: 25.2548 3.5982 7.1675
angles: 90.00 98.03 90.00
Closest atoms and distances in Å follow each position.
Space group C2/m (No. 12)
One atom of each set of equivalent atoms:
Pr (0.1051, 0.0000, 0.0567)  8 Sm 3.51-3.66, 2 Sc 3.56, 2 Pr 3.60
Sm (0.0010, 0.5000, 0.7490)  8 Sm 3.56-3.64, 4 Pr 3.66
Sm (0.1043, 0.0000, 0.5459)  2 Sc 3.50, 2 Pr 3.51-3.66, 8 Sm 3.55-3.64
Sm (0.2040, 0.5000, 0.8416)  4 Sc 3.42-3.73, 6 Sm 3.51-3.60, 2 Pr 3.60
Sc (0.2038, 0.5000, 0.3618)  4 Sc 3.36-3.60, 6 Sm 3.42-3.73, 2 Pr 3.56


The following is a PBE calculation of crystalline Sc2TiAgO at its relaxed geometry, from Alexandria.

Values from the calculation:
Its total DFT energy (no corrections) is -0.5081 Ry/atom.

abc: 4.3997 4.3997 4.1793
angles: 90.00 90.00 90.00
Closest atoms and distances in Å follow each position.
Space group P4/mmm (No. 123)
One atom of each set of equivalent atoms:
Sc (0.0000, 0.5000, 0.0000)  2 O 2.20
Ti (0.0000, 0.0000, 0.5000)  2 O 2.09
Ag (0.5000, 0.5000, 0.5000)  8 Sc 3.03, 4 Ti 3.11
O (0.0000, 0.0000, 0.0000)  2 Ti 2.09, 4 Sc 2.20


The following is a PBE calculation of crystalline Na3Pm3InS8 at its relaxed geometry, from Alexandria.

Values from the calculation:
Its total DFT energy (no corrections) is -0.3701 Ry/atom.

abc: 8.1077 8.1077 20.0777
angles: 90.00 90.00 120.00
Closest atoms and distances in Å follow each position.
Space group R-3m (No. 166, hexagonal axes)
One atom of each set of equivalent atoms:
Na (0.0000, 0.5000, 0.0000)  6 S 2.94-2.95
Pm (0.0000, 0.5000, 0.5000)  6 S 2.81-2.83
In (0.0000, 0.0000, 0.5000)  6 S 2.69
S (0.0000, 0.0000, 0.2441)  3 Pm 2.81, 3 Na 2.95
S (0.0158, 0.5079, 0.2417)  1 In 2.69, 2 Pm 2.83, 2 Na 2.94


The following is a PBE calculation of crystalline BeCdTe3 at its relaxed geometry, from Alexandria.

Values from the calculation:
The calculation puts the polymorph energy (0 for the lowest one) at 729 meV per atom. Its total DFT energy (no corrections) is -0.1282 Ry/atom.

abc: 5.5937 5.5937 5.5937
angles: 90.00 90.00 90.00
Closest atoms and distances in Å follow each position.
Space group Pm-3m (No. 221)
One atom of each set of equivalent atoms:
Be (0.0000, 0.0000, 0.0000)  12 Te 3.96
Cd (0.5000, 0.5000, 0.5000)  6 Te 2.80
Te (0.0000, 0.5000, 0.5000)  2 Cd 2.80


The following is a PBE calculation of crystalline PaRu2Pb at its relaxed geometry, from Alexandria.

Values from the calculation:
The calculation puts the formation energy at -0.09 eV per atom. The calculation puts the polymorph energy (0 for the lowest one) at 85 meV per atom. Its total DFT energy (no corrections) is -0.5900 Ry/atom.

abc: 3.4751 3.4751 6.6674
angles: 90.00 90.00 90.00
Closest atoms and distances in Å follow each position.
Space group P4/mmm (No. 123)
One atom of each set of equivalent atoms:
Pa (0.0000, 0.0000, 0.0000)  8 Ru 2.85
Ru (0.5000, 0.5000, 0.2157)  4 Pa 2.85, 1 Ru 2.88, 4 Pb 3.10
Pb (0.0000, 0.0000, 0.5000)  8 Ru 3.10, 2 Pa 3.33, 4 Pb 3.48


The following is a PBE calculation of crystalline Zn2TcCl8 at its relaxed geometry, from Alexandria.

Values from the calculation:
Its total DFT energy (no corrections) is -0.2482 Ry/atom.

abc: 14.8067 7.1987 6.0476
angles: 90.00 92.06 90.00
Closest atoms and distances in Å follow each position.
Space group C2/m (No. 12)
One atom of each set of equivalent atoms:
Zn (0.1585, 0.0000, 0.4239)  4 Cl 2.16-2.40
Tc (0.0000, 0.0000, 0.0000)  6 Cl 2.38-2.39
Cl (0.0638, 0.2285, 0.2426)  1 Tc 2.38, 1 Zn 2.40
Cl (0.1382, 0.0000, 0.8078)  1 Zn 2.35, 1 Tc 2.39
Cl (0.1992, 0.5000, 0.6408)  1 Zn 2.16


The following is a PBE calculation of crystalline SmMg11In at its relaxed geometry, from Alexandria.

Values from the calculation:
The calculation puts the formation energy at -0.07 eV per atom. Its total DFT energy (no corrections) is -0.1463 Ry/atom.

abc: 5.9280 14.4956 7.7651
angles: 90.00 111.82 90.00
Closest atoms and distances in Å follow each position.
Space group C2/m (No. 12)
One atom of each set of equivalent atoms:
Sm (0.0000, 0.0000, 0.0000)  18 Mg 3.59-3.92, 2 In 3.91
Mg (0.0000, 0.0000, 0.5000)  2 In 2.96, 8 Mg 2.98-3.12
Mg (0.1081, 0.3944, 0.2111)  8 Mg 2.97-3.32, 1 In 2.98
Mg (0.1718, 0.1758, 0.3514)  8 Mg 3.04-3.33, 1 In 3.15
Mg (0.2500, 0.2500, 0.0000)  10 Mg 2.96-3.13
In (0.0000, 0.5000, 0.5000)  10 Mg 2.96-3.15


The following is a PBE calculation of crystalline BiBS3 at its relaxed geometry, from Alexandria.

Values from the calculation:
The calculation puts the polymorph energy (0 for the lowest one) at 608 meV per atom. Its total DFT energy (no corrections) is -0.3073 Ry/atom.

abc: 4.3599 4.3599 4.3599
angles: 90.00 90.00 90.00
Closest atoms and distances in Å follow each position.
Space group Pm-3m (No. 221)
One atom of each set of equivalent atoms:
Bi (0.0000, 0.0000, 0.0000)  12 S 3.08
B (0.5000, 0.5000, 0.5000)  6 S 2.18
S (0.0000, 0.5000, 0.5000)  2 B 2.18


The following is a PBE calculation of crystalline Nd2SmCdC at its relaxed geometry, from Alexandria.

Values from the calculation:
The calculation puts the formation energy at -0.17 eV per atom. Its total DFT energy (no corrections) is -0.3708 Ry/atom.

abc: 5.1433 5.1433 5.0383
angles: 90.00 90.00 90.00
Closest atoms and distances in Å follow each position.
Space group P4/mmm (No. 123)
One atom of each set of equivalent atoms:
Nd (0.0000, 0.5000, 0.0000)  2 C 2.57
Sm (0.0000, 0.0000, 0.5000)  2 C 2.52
Cd (0.5000, 0.5000, 0.5000)  8 Nd 3.60, 4 Sm 3.64
C (0.0000, 0.0000, 0.0000)  2 Sm 2.52, 4 Nd 2.57


The following is a PBE calculation of crystalline Sr2Ni12P7 at its relaxed geometry, from Alexandria.

Values from the calculation:
The calculation puts the formation energy at -0.62 eV per atom. Its total DFT energy (no corrections) is -0.4326 Ry/atom.

abc: 9.1827 9.1827 3.7400
angles: 90.00 90.00 120.00
Closest atoms and distances in Å follow each position.
Space group P-6 (No. 174)
One atom of each set of equivalent atoms:
Sr (0.0000, 0.0000, 0.0000)  6 P 2.99, 12 Ni 3.08-3.24
Sr (0.3333, 0.6667, 0.5000)  6 P 2.95, 9 Ni 3.02-3.16
Ni (0.0439, 0.7576, 0.5000)  4 P 2.28-2.44
Ni (0.0971, 0.3910, 0.0000)  4 P 2.30-2.34, 1 Ni 2.49
Ni (0.3955, 0.2106, 0.0000)  4 P 2.16-2.35
Ni (0.5517, 0.1256, 0.5000)  3 P 2.28-2.50
P (0.0684, 0.6299, 0.0000)  5 Ni 2.22-2.34
P (0.2711, 0.0365, 0.5000)  7 Ni 2.28-2.44
P (0.6667, 0.3333, 0.0000)  3 Ni 2.16


The following is a PBE calculation of crystalline Tc3Ni2N at its relaxed geometry, from Alexandria.

Values from the calculation:
Its total DFT energy (no corrections) is -0.6269 Ry/atom.

abc: 6.5699 6.5699 6.5699
angles: 90.00 90.00 90.00
Closest atoms and distances in Å follow each position.
Space group P4_132 (No. 213)
One atom of each set of equivalent atoms:
Tc (0.0470, 0.1250, 0.7970)  2 N 2.06
Ni (0.0651, 0.9349, 0.4349)  3 Ni 2.45, 6 Tc 2.69-2.73
N (0.1250, 0.3750, 0.6250)  6 Tc 2.06